Version A
# ZrB2Mo2 PBE optimized geometry
data_ZrB2Mo2
_space_group_name_H-M_alt 'P 4/m b m'
_space_group_IT_number 127
_space_group_name_Hall '-P 4 2ab'
_cell_length_a 6.851
_cell_length_b 6.851
_cell_length_c 2.805
_cell_angle_alpha 90.00
_cell_angle_beta 90.00
_cell_angle_gamma 90.00
loop_
_atom_site_label
_atom_site_type_symbol
_atom_site_fract_x
_atom_site_fract_y
_atom_site_fract_z
_atom_site_occupancy
Zr1 Zr 0.000 0.000 0.000 1
B1 B 0.162 0.338 0.500 1
Mo1 Mo 0.130 0.630 0.000 1
# Density of states at the Fermi level, states/eV/atom: 0.792
# Size of the total moment, μB per cell: 0.00

---

Version B
# ZrB2Mo2 PBE optimized geometry
data_ZrB2Mo2
_space_group_name_H-M_alt 'P 4/m b m'
_space_group_IT_number 127
_space_group_name_Hall '-P 4 2ab'
_cell_length_a 6.237
_cell_length_b 6.237
_cell_length_c 3.238
_cell_angle_alpha 90.00
_cell_angle_beta 90.00
_cell_angle_gamma 90.00
loop_
_atom_site_label
_atom_site_type_symbol
_atom_site_fract_x
_atom_site_fract_y
_atom_site_fract_z
_atom_site_occupancy
Zr1 Zr 0.000 0.000 0.000 1
B1 B 0.105 0.395 0.000 1
Mo1 Mo 0.170 0.670 0.500 1
# Density of states at the Fermi level, states/eV/atom: 0.146
# Size of the total moment, μB per cell: 0.00

---

Version C
# ZrB2Mo2 PBE optimized geometry
data_ZrB2Mo2
_space_group_name_H-M_alt 'I 4/m m m'
_space_group_IT_number 139
_space_group_name_Hall '-I 4 2'
_cell_length_a 4.138
_cell_length_b 4.138
_cell_length_c 8.144
_cell_angle_alpha 90.00
_cell_angle_beta 90.00
_cell_angle_gamma 90.00
loop_
_atom_site_label
_atom_site_type_symbol
_atom_site_fract_x
_atom_site_fract_y
_atom_site_fract_z
_atom_site_occupancy
Zr1 Zr 0.000 0.000 0.000 1
B1 B 0.000 0.500 0.250 1
Mo1 Mo 0.000 0.000 0.336 1
# Density of states at the Fermi level, states/eV/atom: 0.201
# Size of the total moment, μB per cell: 0.00

---

Least stable of them? version A.

---

Version A
# ZrBMo3 PBE optimized geometry
data_ZrBMo3
_space_group_name_H-M_alt 'P m -3 m'
_space_group_IT_number 221
_space_group_name_Hall '-P 4 2 3'
_cell_length_a 4.300
_cell_length_b 4.300
_cell_length_c 4.300
_cell_angle_alpha 90.00
_cell_angle_beta 90.00
_cell_angle_gamma 90.00
loop_
_atom_site_label
_atom_site_type_symbol
_atom_site_fract_x
_atom_site_fract_y
_atom_site_fract_z
_atom_site_occupancy
Zr1 Zr 0.000 0.000 0.000 1
B1 B 0.500 0.500 0.500 1
Mo1 Mo 0.000 0.500 0.500 1
# Density of states at the Fermi level, states/eV/atom: 1.063
# Size of the total moment, μB per cell: 0.00

---

Version B
# ZrBMo3 PBE optimized geometry
data_ZrBMo3
_space_group_name_H-M_alt 'P m -3 m'
_space_group_IT_number 221
_space_group_name_Hall '-P 4 2 3'
_cell_length_a 4.778
_cell_length_b 4.778
_cell_length_c 4.778
_cell_angle_alpha 90.00
_cell_angle_beta 90.00
_cell_angle_gamma 90.00
loop_
_atom_site_label
_atom_site_type_symbol
_atom_site_fract_x
_atom_site_fract_y
_atom_site_fract_z
_atom_site_occupancy
Zr1 Zr 0.000 0.000 0.000 1
B1 B 0.500 0.500 0.500 1
Mo1 Mo 0.000 0.000 0.500 1
# Density of states at the Fermi level, states/eV/atom: 1.400
# Size of the total moment, μB per cell: 0.00

---

Least stable of them? version B.

---

Version A
# NaBTeN2 PBE optimized geometry
data_NaBTeN2
_space_group_name_H-M_alt 'P 4/m m m'
_space_group_IT_number 123
_space_group_name_Hall '-P 4 2'
_cell_length_a 3.607
_cell_length_b 3.607
_cell_length_c 5.316
_cell_angle_alpha 90.00
_cell_angle_beta 90.00
_cell_angle_gamma 90.00
loop_
_atom_site_label
_atom_site_type_symbol
_atom_site_fract_x
_atom_site_fract_y
_atom_site_fract_z
_atom_site_occupancy
Na1 Na 0.000 0.000 0.000 1
B1 B 0.500 0.500 0.500 1
Te1 Te 0.500 0.500 0.000 1
N1 N 0.000 0.500 0.500 1
# Density of states at the Fermi level, states/eV/atom: 0.557
# Size of the total moment, μB per cell: 0.00

---

Version B
# NaBTeN2 PBE optimized geometry
data_NaBTeN2
_space_group_name_H-M_alt 'P 4/m m m'
_space_group_IT_number 123
_space_group_name_Hall '-P 4 2'
_cell_length_a 4.259
_cell_length_b 4.259
_cell_length_c 6.372
_cell_angle_alpha 90.00
_cell_angle_beta 90.00
_cell_angle_gamma 90.00
loop_
_atom_site_label
_atom_site_type_symbol
_atom_site_fract_x
_atom_site_fract_y
_atom_site_fract_z
_atom_site_occupancy
Na1 Na 0.000 0.000 0.000 1
B1 B 0.500 0.500 0.500 1
Te1 Te 0.000 0.000 0.500 1
N1 N 0.000 0.500 0.000 1
# Density of states at the Fermi level, states/eV/atom: 0.761
# Size of the total moment, μB per cell: 5.29

---

Least stable of them? version B.

---

Version A
# NaZrB2N PBE optimized geometry
data_NaZrB2N
_space_group_name_H-M_alt 'P 4/m m m'
_space_group_IT_number 123
_space_group_name_Hall '-P 4 2'
_cell_length_a 4.634
_cell_length_b 4.634
_cell_length_c 4.248
_cell_angle_alpha 90.00
_cell_angle_beta 90.00
_cell_angle_gamma 90.00
loop_
_atom_site_label
_atom_site_type_symbol
_atom_site_fract_x
_atom_site_fract_y
_atom_site_fract_z
_atom_site_occupancy
Na1 Na 0.000 0.000 0.000 1
Zr1 Zr 0.500 0.500 0.500 1
B1 B 0.000 0.500 0.500 1
N1 N 0.500 0.500 0.000 1
# Density of states at the Fermi level, states/eV/atom: 0.368
# Size of the total moment, μB per cell: 0.00

---

Version B
# NaZrB2N PBE optimized geometry
data_NaZrB2N
_space_group_name_H-M_alt 'P 4/m m m'
_space_group_IT_number 123
_space_group_name_Hall '-P 4 2'
_cell_length_a 4.334
_cell_length_b 4.334
_cell_length_c 7.316
_cell_angle_alpha 90.00
_cell_angle_beta 90.00
_cell_angle_gamma 90.00
loop_
_atom_site_label
_atom_site_type_symbol
_atom_site_fract_x
_atom_site_fract_y
_atom_site_fract_z
_atom_site_occupancy
Na1 Na 0.000 0.000 0.000 1
Zr1 Zr 0.000 0.000 0.500 1
B1 B 0.000 0.500 0.500 1
N1 N 0.500 0.500 0.000 1
# Density of states at the Fermi level, states/eV/atom: 0.698
# Size of the total moment, μB per cell: 2.24

---

Least stable of them? version B.